Record 1
{"formula": "TaCd2Mo", "functional": "GGA-PBE", "state": "relaxed", "volume_a3_per_atom": 18.33, "e_tot_ev_per_cell": -23.09, "lattice": [[4.655, 0.000, 0.000], [0.000, 2.814, 0.029], [0.000, 2.220, 5.621]], "species": ["Cd", "Cd", "Mo", "Ta"], "frac_coords": [[0.000, 0.495, 0.497], [0.000, 0.005, 0.003], [0.500, 0.250, 0.250], [0.500, 0.750, 0.750]]}

Record 2
{"formula": "MnIr4Ru", "functional": "GGA-PBE", "state": "relaxed", "volume_a3_per_atom": 14.07, "e_tot_ev_per_cell": -54.27, "lattice": [[2.722, 0.000, 0.000], [0.000, 3.813, 0.000], [0.000, 0.001, 8.135]], "species": ["Ir", "Ir", "Ir", "Ir", "Mn", "Ru"], "frac_coords": [[0.000, 0.500, 0.663], [0.500, 0.000, 0.831], [0.500, 0.000, 0.169], [0.000, 0.500, 0.337], [0.500, 0.000, 0.500], [0.000, 0.500, 0.000]]}

Record 3
{"formula": "Tb3Al3Ru", "functional": "GGA-PBE", "state": "relaxed", "volume_a3_per_atom": 22.90, "e_tot_ev_per_cell": -75.28, "lattice": [[-1.217, 2.201, -2.889], [-4.121, -3.034, -3.114], [-12.082, 5.571, 6.796]], "species": ["Al", "Al", "Al", "Al", "Al", "Al", "Tb", "Tb", "Tb", "Tb", "Tb", "Tb", "Ru", "Ru"], "frac_coords": [[0.175, 0.183, 0.466], [0.903, 0.118, 0.075], [0.021, 0.186, 0.772], [0.825, 0.817, 0.534], [0.979, 0.814, 0.228], [0.097, 0.882, 0.925], [0.519, 0.349, 0.613], [0.625, 0.672, 0.079], [0.261, 0.236, 0.241], [0.481, 0.651, 0.387], [0.739, 0.764, 0.759], [0.375, 0.328, 0.921], [0.216, 0.939, 0.628], [0.784, 0.061, 0.372]]}

| no. | energy relative to the elements (eV/atom) |
| --- | --- |
| 1 | 0.3548 |
| 2 | -0.0636 |
| 3 | -0.4636 |